## NaTeAuSe3 (GGA-PBE)

Data for crystalline NaTeAuSe3 at its relaxed geometry.

Computed properties:
Its crystal system is monoclinic. The value obtained for the size of the total moment is 0.000 μB per atom. As for the density: 6.1 g/cm³. The final energy comes out at -3.31 eV per atom.

Cell lengths 4.027, 8.407, 9.483 Å; angles 96.90, 90.00, 90.00 degrees
Fractional positions:
Na  0.250  0.157  0.221
Na  0.750  0.843  0.779
Te  0.250  0.663  0.141
Te  0.750  0.337  0.859
Au  0.250  0.108  0.530
Au  0.750  0.892  0.470
Se  0.750  0.884  0.099
Se  0.250  0.116  0.901
Se  0.250  0.705  0.442
Se  0.750  0.295  0.558
Se  0.750  0.422  0.162
Se  0.250  0.578  0.838